Compound: LiTc2GePt
Source: Alexandria
Functional: PBE-GGA
Structure: relaxed

Cell and atoms, written as extended XYZ:
```
5
Lattice="5.128 0.000 0.000 0.000 4.637 0.000 0.000 0.000 5.128" Properties=species:S:1:pos:R:3 pbc="T T T"
Ge 0.000 2.319 0.000
Tc 0.000 0.000 2.564
Tc 2.564 0.000 0.000
Pt 0.000 0.000 0.000
Li 2.564 2.319 2.564
```

* final energy: -26.75 eV/cell
* formation energy: 1.312 eV/atom
* V: 24.39 Å³ per atom
* crystal system: tetragonal


Compound: LiGeTePt2
Source: Alexandria
Functional: PBE-GGA
Structure: relaxed

Cell and atoms, written as extended XYZ:
```
5
Lattice="5.003 0.000 0.000 0.000 5.438 0.000 0.000 0.000 5.003" Properties=species:S:1:pos:R:3 pbc="T T T"
Ge 0.000 2.719 0.000
Te 0.000 0.000 0.000
Pt 0.000 0.000 2.501
Pt 2.501 0.000 0.000
Li 2.501 2.719 2.501
```

* final energy: -19.03 eV/cell
* V: 27.22 Å³ per atom
* formation energy (no corrections): 0.545 eV per atom
* crystal system: tetragonal


Compound: LiThGe2Pt5
Source: Alexandria
Functional: PBE-GGA
Structure: relaxed

Cell and atoms, written as extended XYZ:
```
9
Lattice="-0.981 -1.434 -3.845 0.108 -3.961 1.450 -9.121 0.531 2.129" Properties=species:S:1:pos:R:3 pbc="T T T"
Li 0.000 0.000 0.000
Th -4.560 0.265 1.064
Ge -1.607 -2.629 -0.924
Ge -8.387 -2.235 0.658
Pt -2.413 -1.837 1.301
Pt -2.957 -0.574 -1.347
Pt -6.600 -1.593 2.278
Pt -7.145 -0.330 -0.369
Pt -4.997 -2.432 -0.133
```

* final energy: -55.67 eV/cell
* formation energy: -0.767 eV/atom
* V: 18.56 Å³ per atom
* crystal system: tetragonal


Compound: LiTh2Ge3Pt12
Source: Alexandria
Functional: PBE-GGA
Structure: relaxed

Cell and atoms, written as extended XYZ:
```
18
Lattice="-5.722 -4.977 -1.503 1.063 -4.400 -6.267 1.653 -7.410 1.456" Properties=species:S:1:pos:R:3 pbc="T T T"
Li 0.000 0.000 0.000
Th -1.869 -10.439 -3.926
Th -1.137 -6.349 -2.388
Ge -2.861 -2.488 -0.751
Ge 0.531 -2.200 -3.134
Ge 0.826 -3.705 0.728
Pt -0.256 -9.996 -1.574
Pt -3.434 -10.853 -6.205
Pt 0.255 -12.070 -4.724
Pt -4.053 -8.742 -3.098
Pt -3.139 -12.359 -2.341
Pt -0.559 -8.445 -5.552
Pt -2.751 -6.791 -4.740
Pt 0.428 -5.934 -0.109
Pt -3.261 -4.717 -1.590
Pt 1.047 -8.045 -3.216
Pt 0.133 -4.428 -3.973
Pt -2.447 -8.342 -0.762
```

* final energy: -111.24 eV/cell
* formation energy: -0.453 eV/atom
* V: 20.14 Å³ per atom
* crystal system: trigonal


Compound: LiThGePt
Source: Alexandria
Functional: PBE-GGA
Structure: relaxed

Cell and atoms, written as extended XYZ:
```
4
Lattice="-1.359 4.223 2.077 -2.525 3.302 -2.590 -4.720 0.821 1.018" Properties=species:S:1:pos:R:3 pbc="T T T"
Ge -2.151 2.087 0.126
Pt -6.453 6.260 0.378
Th 0.000 0.000 0.000
Li -4.302 4.173 0.252
```

* final energy: -22.65 eV/cell
* formation energy: -0.664 eV/atom
* V: 20.77 Å³ per atom
* crystal system: cubic


Compound: Li2TlGePt
Source: Alexandria
Functional: PBE-GGA
Structure: relaxed

Cell and atoms, written as extended XYZ:
```
5
Lattice="-3.867 -0.902 2.889 2.986 -0.365 3.881 -0.475 4.593 0.798" Properties=species:S:1:pos:R:3 pbc="T T T"
Tl -0.678 1.663 3.784
Ge -0.238 2.297 0.399
Pt 0.000 0.000 0.000
Li 1.493 -0.183 1.941
Li -1.933 -0.451 1.445
```

* final energy: -18.15 eV/cell
* formation energy: -0.260 eV/atom
* V: 22.60 Å³ per atom
* crystal system: tetragonal


Compound: LiTlGePt
Source: Alexandria
Functional: PBE-GGA
Structure: relaxed

Cell and atoms, written as extended XYZ:
```
4
Lattice="-0.472 1.748 -4.297 -3.993 2.056 -1.255 -0.145 4.617 -0.636" Properties=species:S:1:pos:R:3 pbc="T T T"
Tl -3.458 6.316 -4.642
Ge -1.153 2.105 -1.547
Pt -2.305 4.210 -3.095
Li 0.000 0.000 0.000
```

* final energy: -15.75 eV/cell
* formation energy: -0.202 eV/atom
* V: 17.92 Å³ per atom
* crystal system: cubic


Compound: LiTmGePt
Source: Alexandria
Functional: PBE-GGA
Structure: relaxed

Cell and atoms, written as extended XYZ:
```
4
Lattice="4.580 0.000 0.000 2.290 3.967 0.000 2.290 1.322 3.740" Properties=species:S:1:pos:R:3 pbc="T T T"
Ge 0.000 0.000 0.000
Tm 4.580 2.644 1.870
Pt 6.870 3.967 2.805
Li 2.290 1.322 0.935
```

* final energy: -20.47 eV/cell
* formation energy: -0.857 eV/atom
* V: 16.98 Å³ per atom
* crystal system: cubic


Compound: LiTm2Ge4Pt3
Source: Alexandria
Functional: PBE-GGA
Structure: relaxed

Cell and atoms, written as extended XYZ:
```
10
Lattice="4.077 0.000 0.000 0.000 4.077 0.000 0.000 0.000 10.989" Properties=species:S:1:pos:R:3 pbc="T T T"
Li 2.038 2.038 5.495
Tm 2.038 0.000 2.891
Tm 0.000 2.038 8.098
Ge 2.038 2.038 0.000
Ge 0.000 0.000 0.000
Ge 2.038 0.000 6.982
Ge 0.000 2.038 4.007
Pt 0.000 0.000 5.495
Pt 2.038 0.000 9.432
Pt 0.000 2.038 1.557
```

* final energy: -55.55 eV/cell
* formation energy: -0.810 eV/atom
* V: 18.26 Å³ per atom
* crystal system: tetragonal


Compound: LiTm2Ge3Pt4
Source: Alexandria
Functional: PBE-GGA
Structure: relaxed

Cell and atoms, written as extended XYZ:
```
10
Lattice="4.045 0.000 0.000 0.000 4.045 0.000 0.000 0.000 11.068" Properties=species:S:1:pos:R:3 pbc="T T T"
Li 2.023 2.023 5.534
Tm 2.023 0.000 2.785
Tm 0.000 2.023 8.283
Ge 0.000 0.000 5.534
Ge 2.023 0.000 9.535
Ge 0.000 2.023 1.533
Pt 2.023 2.023 0.000
Pt 0.000 0.000 0.000
Pt 2.023 0.000 7.127
Pt 0.000 2.023 3.941
```

* final energy: -57.58 eV/cell
* formation energy: -0.871 eV/atom
* V: 18.11 Å³ per atom
* crystal system: tetragonal


Compound: LiTmGe2Pt4
Source: Alexandria
Functional: PBE-GGA
Structure: relaxed

Cell and atoms, written as extended XYZ:
```
8
Lattice="-2.063 3.475 -1.361 -2.222 -0.127 -3.638 -8.253 -1.272 2.585" Properties=species:S:1:pos:R:3 pbc="T T T"
Li -6.269 1.038 -1.206
Tm 0.000 0.000 0.000
Ge -9.242 1.614 -1.910
Ge -3.296 0.463 -0.502
Pt -8.283 0.333 0.049
Pt -7.047 2.382 -3.278
Pt -5.491 -0.305 0.865
Pt -4.255 1.743 -2.461
```

* final energy: -45.77 eV/cell
* formation energy: -0.748 eV/atom
* V: 16.51 Å³ per atom
* crystal system: trigonal


Compound: Li2UGe3Pt4
Source: Alexandria
Functional: PBE-GGA
Structure: relaxed

Cell and atoms, written as extended XYZ:
```
10
Lattice="-2.539 1.514 -3.040 -3.393 -0.973 2.349 0.369 9.998 4.672" Properties=species:S:1:pos:R:3 pbc="T T T"
Li -1.193 2.835 -0.549
Li -1.405 7.434 4.875
U -2.782 5.270 1.990
Ge 0.184 4.999 2.336
Ge -0.947 9.507 2.568
Ge -1.651 0.762 1.758
Pt -2.966 0.271 -0.345
Pt 0.000 0.000 0.000
Pt -1.026 7.342 1.557
Pt -1.571 2.927 2.769
```

* final energy: -57.42 eV/cell
* formation energy: -0.429 eV/atom
* V: 19.85 Å³ per atom
* crystal system: tetragonal


Repeat the ninth record exactly.
Compound: LiTm2Ge4Pt3
Source: Alexandria
Functional: PBE-GGA
Structure: relaxed

Cell and atoms, written as extended XYZ:
```
10
Lattice="4.077 0.000 0.000 0.000 4.077 0.000 0.000 0.000 10.989" Properties=species:S:1:pos:R:3 pbc="T T T"
Li 2.038 2.038 5.495
Tm 2.038 0.000 2.891
Tm 0.000 2.038 8.098
Ge 2.038 2.038 0.000
Ge 0.000 0.000 0.000
Ge 2.038 0.000 6.982
Ge 0.000 2.038 4.007
Pt 0.000 0.000 5.495
Pt 2.038 0.000 9.432
Pt 0.000 2.038 1.557
```

* final energy: -55.55 eV/cell
* formation energy: -0.810 eV/atom
* V: 18.26 Å³ per atom
* crystal system: tetragonal


What did the fourth record say?
Compound: LiTh2Ge3Pt12
Source: Alexandria
Functional: PBE-GGA
Structure: relaxed

Cell and atoms, written as extended XYZ:
```
18
Lattice="-5.722 -4.977 -1.503 1.063 -4.400 -6.267 1.653 -7.410 1.456" Properties=species:S:1:pos:R:3 pbc="T T T"
Li 0.000 0.000 0.000
Th -1.869 -10.439 -3.926
Th -1.137 -6.349 -2.388
Ge -2.861 -2.488 -0.751
Ge 0.531 -2.200 -3.134
Ge 0.826 -3.705 0.728
Pt -0.256 -9.996 -1.574
Pt -3.434 -10.853 -6.205
Pt 0.255 -12.070 -4.724
Pt -4.053 -8.742 -3.098
Pt -3.139 -12.359 -2.341
Pt -0.559 -8.445 -5.552
Pt -2.751 -6.791 -4.740
Pt 0.428 -5.934 -0.109
Pt -3.261 -4.717 -1.590
Pt 1.047 -8.045 -3.216
Pt 0.133 -4.428 -3.973
Pt -2.447 -8.342 -0.762
```

* final energy: -111.24 eV/cell
* formation energy: -0.453 eV/atom
* V: 20.14 Å³ per atom
* crystal system: trigonal


> What is the formula in the eighth record?

LiTmGePt